No. 1
First-principles (GGA-PBE) data for crystalline Sb2PdBr8 at its relaxed geometry, as listed in Alexandria via LeMat-Bulk.

Computed properties:
The total magnetization is 0.000 μB/cell. The energy relative to the elements, uncorrected comes out at -441.7 meV per atom. For the electronic total energy, the calculation gives -2.880 eV/atom.

Cell and atoms, written as POSCAR:
```
Sb2PdBr8
1.0
6.615 -3.628 0.000
6.615 3.628 0.000
-2.688 0.000 9.184
Sb Pd Br
2 1 8
Direct
0.123 0.123 0.391
0.877 0.877 0.609
0.000 0.000 0.000
0.110 0.110 0.684
0.129 0.653 0.844
0.333 0.333 0.482
0.347 0.871 0.156
0.653 0.129 0.844
0.667 0.667 0.518
0.871 0.347 0.156
0.890 0.890 0.316
```

No. 2
First-principles (GGA-PBE) data for crystalline NiAgCl2 at its relaxed geometry, as listed in Alexandria via LeMat-Bulk.

Computed properties:
The total magnetization is 1.007 μB/cell. The value obtained for the energy relative to the lowest polymorph listed for this composition is 0.658 eV/f.u. The energy relative to the elements, uncorrected comes out at -124.8 meV per atom. For the electronic total energy, the calculation gives -3.206 eV/atom.

Cell and atoms, written as POSCAR:
```
NiAgCl2
1.0
3.462 0.000 0.000
0.000 3.462 0.000
0.000 0.000 6.628
Ni Ag Cl
1 1 2
Direct
0.000 0.000 0.000
0.500 0.500 0.540
0.000 0.000 0.353
0.500 0.500 0.935
```

No. 3
First-principles (GGA-PBE) data for crystalline NdMgSc2 at its relaxed geometry, as listed in Alexandria via LeMat-Bulk.

Computed properties:
As for the formation energy: 0.05 eV per atom. The total magnetization is 0.010 μB/cell. The value obtained for the energy relative to the lowest polymorph listed for this composition is 0.182 eV/f.u. For the electronic total energy, the calculation gives -4.705 eV/atom.

Cell and atoms, written as POSCAR:
```
NdMgSc2
1.0
4.711 0.000 0.000
0.000 4.711 0.000
0.000 0.000 4.815
Nd Mg Sc
1 1 2
Direct
0.000 0.000 0.000
0.500 0.500 0.000
0.000 0.500 0.500
0.500 0.000 0.500
```

No. 4
First-principles (GGA-PBE) data for crystalline CaSn12Pt4 at its relaxed geometry, as listed in Alexandria via LeMat-Bulk.

Computed properties:
As for the formation energy: -0.39 eV per atom. The total magnetization is 0.000 μB/cell. For the electronic total energy, the calculation gives -4.754 eV/atom.

Cell and atoms, written as POSCAR:
```
CaSn12Pt4
1.0
-4.768 4.768 4.768
4.768 -4.768 4.768
4.768 4.768 -4.768
Ca Sn Pt
1 12 4
Direct
0.000 0.000 0.000
0.158 0.343 0.501
0.158 0.657 0.815
0.185 0.842 0.343
0.343 0.185 0.842
0.343 0.501 0.158
0.499 0.842 0.657
0.501 0.158 0.343
0.657 0.499 0.842
0.657 0.815 0.158
0.815 0.158 0.657
0.842 0.343 0.185
0.842 0.657 0.499
0.000 0.000 0.500
0.000 0.500 0.000
0.500 0.000 0.000
0.500 0.500 0.500
```

No. 5
First-principles (GGA-PBE) data for crystalline Pm2AsSe at its relaxed geometry, as listed in Alexandria via LeMat-Bulk.

Computed properties:
The total magnetization is 0.001 μB/cell. The value obtained for the energy relative to the lowest polymorph listed for this composition is 0.318 eV/f.u. The energy relative to the elements, uncorrected comes out at -1662.5 meV per atom. For the electronic total energy, the calculation gives -6.071 eV/atom.

Cell and atoms, written as POSCAR:
```
Pm2AsSe
1.0
2.070 1.195 7.288
-2.070 1.195 7.288
0.000 -2.391 7.288
Pm As Se
2 1 1
Direct
0.000 0.000 0.000
0.179 0.179 0.179
0.591 0.591 0.591
0.422 0.422 0.422
```

No. 6
First-principles (GGA-PBE) data for crystalline K2OsRh at its relaxed geometry, as listed in Alexandria via LeMat-Bulk.

Computed properties:
As for the formation energy: 0.93 eV per atom. The total magnetization is 0.343 μB/cell. The value obtained for the energy relative to the lowest polymorph listed for this composition is 1.371 eV/f.u. For the electronic total energy, the calculation gives -4.269 eV/atom.

Cell and atoms, written as POSCAR:
```
K2OsRh
1.0
-2.106 2.860 4.765
2.106 -2.860 4.765
2.106 2.860 -4.765
K Os Rh
2 1 1
Direct
0.000 0.000 0.000
0.697 0.197 0.500
0.296 0.796 0.500
0.404 0.404 0.000
```